Record 1
{
  "formula": "Nd7Dy3Tm",
  "functional": "PBE",
  "state": "relaxed",
  "cell": [[-3.364, -0.438, -4.846], [-3.543, -4.375, 6.472], [-2.385, 6.796, 4.658]],
  "species": ["Nd", "Tm", "Nd", "Nd", "Nd", "Nd", "Nd", "Dy", "Dy", "Nd", "Dy"],
  "frac_coords": [[0.788, 0.790, 0.790], [0.500, 0.500, 0.500], [0.308, 0.597, 0.019], [0.692, 0.981, 0.403], [0.692, 0.403, 0.981], [0.212, 0.210, 0.210], [0.308, 0.019, 0.597], [0.000, 0.795, 0.205], [0.500, 0.000, 0.000], [0.000, 0.500, 0.500], [0.000, 0.205, 0.795]],
  "polymorph_energy_kj_per_mol_atoms": 4.4,
  "formation_energy_kj_per_mol_fu": 244,
  "magnetic_moment_mub_per_fu": 0.00,
  "total_energy_ev_per_atom": -4.47
}

Record 2
{
  "formula": "Nd4Dy4Tm",
  "functional": "PBE",
  "state": "relaxed",
  "cell": [[5.458, 0.004, 1.293], [2.018, 7.841, 3.683], [0.894, 3.001, 8.429]],
  "species": ["Nd", "Dy", "Dy", "Nd", "Nd", "Tm", "Nd", "Dy", "Dy"],
  "frac_coords": [[0.132, 0.693, 0.042], [0.378, 0.572, 0.675], [0.929, 0.771, 0.373], [0.282, 0.151, 0.287], [0.868, 0.307, 0.958], [0.500, 0.000, 0.000], [0.718, 0.849, 0.713], [0.622, 0.428, 0.325], [0.071, 0.229, 0.627]],
  "polymorph_energy_kj_per_mol_atoms": 8.6,
  "formation_energy_kj_per_mol_fu": 93,
  "magnetic_moment_mub_per_fu": 0.00,
  "total_energy_ev_per_atom": -4.55
}

Record 3
{
  "formula": "NdDyTm",
  "functional": "PBE",
  "state": "relaxed",
  "cell": [[3.473, 0.000, 0.000], [0.000, 5.663, 0.000], [0.000, -2.831, 4.904]],
  "species": ["Nd", "Tm", "Dy"],
  "frac_coords": [[0.667, 0.667, 0.333], [0.166, 0.333, 0.667], [0.167, 0.000, 0.000]],
  "polymorph_energy_kj_per_mol_atoms": 5.8,
  "formation_energy_kj_per_mol_fu": 21,
  "magnetic_moment_mub_per_fu": 0.00,
  "total_energy_ev_per_atom": -4.54
}

Record 4
{
  "formula": "Nd2Dy7Tm",
  "functional": "PBE",
  "state": "relaxed",
  "cell": [[-1.208, 5.341, -2.834], [3.834, -9.735, -2.121], [-10.049, 5.051, 0.428]],
  "species": ["Dy", "Dy", "Dy", "Tm", "Nd", "Nd", "Dy", "Dy", "Dy", "Dy"],
  "frac_coords": [[0.900, 0.099, 0.398], [0.100, 0.901, 0.602], [0.798, 0.201, 0.802], [0.000, 0.000, 0.000], [0.402, 0.599, 0.399], [0.598, 0.401, 0.601], [0.701, 0.298, 0.198], [0.202, 0.799, 0.198], [0.500, 0.500, 0.000], [0.299, 0.702, 0.802]],
  "polymorph_energy_kj_per_mol_atoms": 0.0,
  "formation_energy_kj_per_mol_fu": 16,
  "magnetic_moment_mub_per_fu": 0.00,
  "total_energy_ev_per_atom": -4.61
}

Record 5
{
  "formula": "Nd2Dy8Tm3",
  "functional": "PBE",
  "state": "relaxed",
  "cell": [[-2.121, 3.972, 3.193], [-4.253, 2.399, -5.808], [-5.463, -7.602, 5.828]],
  "species": ["Nd", "Dy", "Tm", "Dy", "Dy", "Dy", "Dy", "Dy", "Tm", "Nd", "Tm", "Dy", "Dy"],
  "frac_coords": [[0.500, 0.760, 0.519], [0.500, 0.182, 0.789], [0.000, 0.715, 0.000], [0.000, 0.338, 0.678], [0.000, 0.872, 0.744], [0.000, 0.128, 0.256], [0.000, 0.662, 0.322], [0.500, 0.607, 0.789], [0.000, 0.285, 0.000], [0.500, 0.240, 0.481], [0.500, 0.000, 0.000], [0.500, 0.818, 0.211], [0.500, 0.393, 0.211]],
  "polymorph_energy_kj_per_mol_atoms": 15.7,
  "formation_energy_kj_per_mol_fu": 294,
  "magnetic_moment_mub_per_fu": 0.00,
  "total_energy_ev_per_atom": -4.36
}

Record 6
{
  "formula": "Nd2Dy2Tm3",
  "functional": "PBE",
  "state": "relaxed",
  "cell": [[3.494, 0.000, 0.000], [0.000, 8.680, -0.390], [-1.747, -3.368, 7.631]],
  "species": ["Nd", "Tm", "Tm", "Dy", "Dy", "Tm", "Nd"],
  "frac_coords": [[0.920, 0.797, 0.840], [0.780, 0.354, 0.560], [0.000, 0.500, 0.000], [0.360, 0.093, 0.721], [0.640, 0.907, 0.279], [0.220, 0.646, 0.440], [0.080, 0.203, 0.160]],
  "polymorph_energy_kj_per_mol_atoms": 0.0,
  "formation_energy_kj_per_mol_fu": 92,
  "magnetic_moment_mub_per_fu": 0.00,
  "total_energy_ev_per_atom": -4.46
}

Record 7
{
  "formula": "Nd6DyTm2",
  "functional": "PBE",
  "state": "relaxed",
  "cell": [[6.246, -0.135, -0.131], [1.123, 9.958, 1.397], [1.123, 1.719, 9.908]],
  "species": ["Tm", "Nd", "Nd", "Tm", "Nd", "Nd", "Dy", "Nd", "Dy", "Nd", "Nd", "Tm", "Nd", "Nd", "Tm", "Nd", "Nd", "Nd"],
  "frac_coords": [[0.584, 0.434, 0.234], [0.154, 0.356, 0.075], [0.486, 0.688, 0.408], [0.916, 0.766, 0.566], [0.846, 0.644, 0.925], [0.181, 0.979, 0.261], [0.750, 0.900, 0.100], [0.681, 0.261, 0.979], [0.250, 0.100, 0.900], [0.514, 0.312, 0.592], [0.014, 0.592, 0.312], [0.416, 0.566, 0.766], [0.319, 0.739, 0.021], [0.986, 0.408, 0.688], [0.084, 0.234, 0.434], [0.654, 0.075, 0.356], [0.346, 0.925, 0.644], [0.819, 0.021, 0.739]],
  "polymorph_energy_kj_per_mol_atoms": 2.5,
  "formation_energy_kj_per_mol_fu": 72,
  "magnetic_moment_mub_per_fu": 0.00,
  "total_energy_ev_per_atom": -4.60
}

Record 8
{
  "formula": "NdDy4Tm3",
  "functional": "PBE",
  "state": "relaxed",
  "cell": [[-1.382, -1.878, 5.803], [5.614, -4.573, -0.143], [6.642, 8.024, 4.178]],
  "species": ["Tm", "Tm", "Tm", "Tm", "Dy", "Dy", "Tm", "Dy", "Dy", "Nd", "Nd", "Dy", "Dy", "Tm", "Dy", "Dy"],
  "frac_coords": [[0.981, 0.625, 0.750], [0.481, 0.375, 0.250], [0.481, 0.375, 0.750], [0.148, 0.375, 0.500], [0.649, 0.125, 0.000], [0.981, 0.125, 0.748], [0.648, 0.625, 0.000], [0.981, 0.125, 0.252], [0.481, 0.875, 0.248], [0.147, 0.375, 0.000], [0.647, 0.625, 0.500], [0.149, 0.875, 0.500], [0.481, 0.875, 0.752], [0.981, 0.625, 0.250], [0.146, 0.874, 0.000], [0.646, 0.126, 0.500]],
  "polymorph_energy_kj_per_mol_atoms": 0.0,
  "formation_energy_kj_per_mol_fu": 6,
  "magnetic_moment_mub_per_fu": 0.00,
  "total_energy_ev_per_atom": -4.57
}

Number 8 is which compound? NdDy4Tm3